Entry 1:
Compound: SmTm4Al4
Source: the Alexandria database
Functional: PBE-GGA
Structure: optimized geometry

Output
Formation enthalpy at 0 K, meV per atom: -160
Space-group type: No. 87
M_tot, μB per atom: 0.00
Calculated total energy, eV per atom: -4.335
Calculated density, g cm⁻³: 6.52

abc: 5.0744 9.6832 9.6832
angles: 90.00 90.00 90.00
Fractional positions:
Tm: 0.4996 0.3927 0.8540
Tm: 0.5004 0.1460 0.3927
Tm: 0.5004 0.8540 0.6073
Tm: 0.9996 0.6460 0.8927
Tm: 0.0004 0.1073 0.6460
Tm: 0.0004 0.8927 0.3540
Tm: 0.9996 0.3540 0.1073
Tm: 0.4996 0.6073 0.1460
Al: 0.9997 0.5795 0.3208
Al: 0.0003 0.3208 0.4205
Al: 0.9997 0.4205 0.6792
Al: 0.5003 0.0795 0.8208
Al: 0.5003 0.9205 0.1792
Al: 0.0003 0.6792 0.5795
Al: 0.4997 0.8208 0.9205
Al: 0.4997 0.1792 0.0795
Sm: 0.5000 0.5000 0.5000
Sm: 0.0000 0.0000 0.0000

Entry 2:
Compound: CdSn3
Source: the Alexandria database
Functional: PBE-GGA
Structure: optimized geometry

Output
Formation enthalpy at 0 K, meV per atom: 68
Space-group type: No. 139
M_tot, μB per atom: 0.00
Calculated total energy, eV per atom: -3.163
Calculated density, g cm⁻³: 7.27

abc: 5.9488 5.9488 5.9488
angles: 134.05 134.05 67.01
Fractional positions:
Sn: 0.7500 0.2500 0.5000
Sn: 0.2500 0.7500 0.5000
Sn: 0.5000 0.5000 0.0000
Cd: 0.0000 0.0000 0.0000

Entry 3:
Compound: Na2LiIrO6
Source: the Alexandria database
Functional: PBE-GGA
Structure: optimized geometry

Output
Space-group type: No. 14
M_tot, μB per atom: 0.00
Calculated total energy, eV per atom: -5.307
Calculated density, g cm⁻³: 4.85

abc: 5.4472 5.5700 7.7053
angles: 90.00 89.98 90.00
Fractional positions:
Li: 0.0000 0.5000 0.5000
Li: 0.5000 0.0000 0.0000
Na: 0.4903 0.4534 0.2492
Na: 0.5097 0.5466 0.7508
Na: 0.0097 0.9534 0.2508
Na: 0.9903 0.0466 0.7492
Ir: 0.0000 0.5000 0.0000
Ir: 0.5000 0.0000 0.5000
O: 0.6849 0.2770 0.5442
O: 0.2781 0.6895 0.0393
O: 0.4198 0.9790 0.7357
O: 0.0802 0.4790 0.7643
O: 0.5802 0.0210 0.2643
O: 0.7781 0.8105 0.5393
O: 0.8151 0.7770 0.9558
O: 0.1849 0.2230 0.0442
O: 0.2219 0.1895 0.4607
O: 0.7219 0.3105 0.9607
O: 0.3151 0.7230 0.4558
O: 0.9198 0.5210 0.2357

Entry 4:
Compound: MgCr2Cu
Source: the Alexandria database
Functional: PBE-GGA
Structure: optimized geometry

Output
Formation enthalpy at 0 K, meV per atom: 576
Space-group type: No. 123
M_tot, μB per atom: 1.83
Calculated total energy, eV per atom: -5.658
Calculated density, g cm⁻³: 5.13

abc: 4.3357 4.3357 3.3012
angles: 90.00 90.00 90.00
Fractional positions:
Cr: 0.0000 0.0000 0.0000
Cr: 0.5000 0.5000 0.0000
Cu: 0.5000 0.0000 0.5000
Mg: 0.0000 0.5000 0.5000

Entry 5:
Compound: HgIrI2N
Source: the Alexandria database
Functional: PBE-GGA
Structure: optimized geometry

Output
Space-group type: No. 123
M_tot, μB per atom: 0.00
E above lowest polymorph, meV/atom: 0
Calculated total energy, eV per atom: -3.765
Calculated density, g cm⁻³: 8.87

abc: 5.7565 5.7565 3.7337
angles: 90.00 90.00 90.00
Fractional positions:
Hg: 0.5000 0.5000 0.5000
I: 0.0000 0.5000 0.0000
I: 0.5000 0.0000 0.0000
Ir: 0.0000 0.0000 0.0000
N: 0.0000 0.0000 0.5000

Entry 6:
Compound: TmNbMo
Source: the Alexandria database
Functional: PBE-GGA
Structure: optimized geometry

Output
Formation enthalpy at 0 K, meV per atom: 259
Space-group type: No. 70
M_tot, μB per atom: 0.00
E above lowest polymorph, meV/atom: 151
Calculated total energy, eV per atom: -8.199
Calculated density, g cm⁻³: 9.21

abc: 4.9471 5.7245 10.4030
angles: 84.10 76.24 64.40
Fractional positions:
Tm: 0.9026 0.1949 0.5000
Tm: 0.8474 0.3051 0.0000
Tm: 0.1526 0.6949 0.0000
Tm: 0.5974 0.8051 0.5000
Nb: 0.1620 0.5000 0.6761
Nb: 0.4120 0.0000 0.1761
Nb: 0.5880 0.0000 0.8239
Nb: 0.3380 0.5000 0.3239
Mo: 0.8750 0.5000 0.2500
Mo: 0.8750 0.0000 0.2500
Mo: 0.6250 0.5000 0.7500
Mo: 0.1250 0.0000 0.7500

Entry 7:
Compound: GdHfZnIr
Source: the Alexandria database
Functional: PBE-GGA
Structure: optimized geometry

Output
Formation enthalpy at 0 K, meV per atom: -463
Space-group type: No. 216
M_tot, μB per atom: 1.83
Calculated total energy, eV per atom: -9.006
Calculated density, g cm⁻³: 12.49

abc: 4.8140 4.8140 4.8140
angles: 60.00 60.00 60.00
Fractional positions:
Zn: 0.2500 0.2500 0.2500
Ir: 0.7500 0.7500 0.7500
Hf: 0.5000 0.5000 0.5000
Gd: 0.0000 0.0000 0.0000

Entry 8:
Compound: LaTh3Ni
Source: the Alexandria database
Functional: PBE-GGA
Structure: optimized geometry

Output
Formation enthalpy at 0 K, meV per atom: 45
Space-group type: No. 221
M_tot, μB per atom: 0.00
Calculated total energy, eV per atom: -6.549
Calculated density, g cm⁻³: 9.22

abc: 5.4393 5.4393 5.4393
angles: 90.00 90.00 90.00
Fractional positions:
Th: 0.0000 0.0000 0.5000
Th: 0.5000 0.0000 0.0000
Th: 0.0000 0.5000 0.0000
La: 0.5000 0.5000 0.5000
Ni: 0.0000 0.0000 0.0000

Entry 9:
Compound: LiCaRu2
Source: the Alexandria database
Functional: PBE-GGA
Structure: optimized geometry

Output
Formation enthalpy at 0 K, meV per atom: 249
Space-group type: No. 8
M_tot, μB per atom: 0.00
E above lowest polymorph, meV/atom: 9
Calculated total energy, eV per atom: -5.368
Calculated density, g cm⁻³: 5.76

abc: 4.4654 4.4654 5.6932
angles: 82.52 82.52 39.68
Fractional positions:
Ru: 0.7403 0.7403 0.8348
Ru: 0.0024 0.0024 0.9688
Li: 0.2654 0.2654 0.1985
Ca: 0.4918 0.4918 0.4979

Entry 10:
Compound: Na2UTa2S6
Source: the Alexandria database
Functional: PBE-GGA
Structure: optimized geometry

Output
Space-group type: No. 12
M_tot, μB per atom: 0.00
Calculated total energy, eV per atom: -6.843
Calculated density, g cm⁻³: 6.02

abc: 6.0820 6.0820 7.3280
angles: 97.21 97.21 118.42
Fractional positions:
U: 0.0000 0.0000 0.5000
S: 0.2768 0.2768 0.2719
S: 0.4132 0.0617 0.7122
S: 0.0617 0.4132 0.7122
S: 0.9383 0.5868 0.2878
S: 0.7232 0.7232 0.7281
S: 0.5868 0.9383 0.2878
Ta: 0.6500 0.3500 0.5000
Ta: 0.3500 0.6500 0.5000
Na: 0.8305 0.1695 0.0000
Na: 0.1695 0.8305 0.0000

Entry 11:
Compound: Pu3Al2Pd4
Source: the Alexandria database
Functional: PBE-GGA
Structure: optimized geometry

Output
Formation enthalpy at 0 K, meV per atom: -489
Space-group type: No. 164
M_tot, μB per atom: 1.77
Calculated total energy, eV per atom: -8.406
Calculated density, g cm⁻³: 11.50

abc: 4.4262 4.4262 10.3142
angles: 90.00 90.00 120.00
Fractional positions:
Pd: 0.6667 0.3333 0.1586
Pd: 0.3333 0.6667 0.8414
Pd: 0.0000 0.0000 0.3021
Pd: 0.0000 0.0000 0.6979
Pu: 0.3333 0.6667 0.5589
Pu: 0.0000 0.0000 0.0000
Pu: 0.6667 0.3333 0.4411
Al: 0.6667 0.3333 0.7702
Al: 0.3333 0.6667 0.2298

Entry 12:
Compound: LiCrIr2
Source: the Alexandria database
Functional: PBE-GGA
Structure: optimized geometry

Output
Formation enthalpy at 0 K, meV per atom: 256
Space-group type: No. 35
M_tot, μB per atom: 0.00
Calculated total energy, eV per atom: -7.059
Calculated density, g cm⁻³: 13.04

abc: 2.6376 2.6376 9.1548
angles: 90.00 90.00 117.56
Fractional positions:
Ir: 0.0000 0.0000 0.9869
Ir: 0.5000 0.5000 0.2568
Cr: 0.5000 0.5000 0.7590
Li: 0.0000 0.0000 0.4973

Entry 13:
Compound: ReHF6
Source: the Alexandria database
Functional: PBE-GGA
Structure: optimized geometry

Output
Space-group type: No. 2
M_tot, μB per atom: 0.25
Calculated total energy, eV per atom: -5.306
Calculated density, g cm⁻³: 4.68

abc: 5.1122 5.1129 7.0079
angles: 52.86 47.19 62.85
Fractional positions:
F: 0.2210 0.4359 0.7164
F: 0.4378 0.7974 0.7852
F: 0.8640 0.0968 0.7718
F: 0.5622 0.2026 0.2148
F: 0.1360 0.9032 0.2282
F: 0.7790 0.5641 0.2836
H: 0.5000 0.5000 0.5000
Re: 0.0000 0.0000 0.0000

Entry 14:
Compound: La2Ga4PdAu3
Source: the Alexandria database
Functional: PBE-GGA
Structure: optimized geometry

Output
Formation enthalpy at 0 K, meV per atom: -728
Space-group type: No. 115
M_tot, μB per atom: 0.00
Calculated total energy, eV per atom: -4.427
Calculated density, g cm⁻³: 9.91

abc: 4.4863 4.4863 10.4406
angles: 90.00 90.00 90.00
Fractional positions:
Ga: 0.0000 0.0000 0.0000
Ga: 0.5000 0.5000 0.0000
Ga: 0.5000 0.0000 0.6228
Ga: 0.0000 0.5000 0.3772
La: 0.5000 0.0000 0.2509
La: 0.0000 0.5000 0.7491
Au: 0.0000 0.0000 0.5000
Au: 0.0000 0.5000 0.1339
Au: 0.5000 0.0000 0.8661
Pd: 0.5000 0.5000 0.5000

Entry 15:
Compound: SrDyPaO6
Source: the Alexandria database
Functional: PBE-GGA
Structure: optimized geometry

Output
Space-group type: No. 149
M_tot, μB per atom: 0.23
Calculated total energy, eV per atom: -7.840
Calculated density, g cm⁻³: 6.50

abc: 4.7209 6.0052 6.0052
angles: 120.00 90.00 90.00
Fractional positions:
O: 0.2522 0.3025 0.3463
O: 0.7478 0.3025 0.9562
O: 0.2522 0.0438 0.6975
O: 0.2522 0.6537 0.9562
O: 0.7478 0.0438 0.3463
O: 0.7478 0.6537 0.6975
Dy: 0.5000 0.0000 0.0000
Pa: 0.0000 0.3333 0.6667
Sr: 0.5000 0.6667 0.3333

Entry 16:
Compound: SrNiCl2
Source: the Alexandria database
Functional: PBE-GGA
Structure: optimized geometry

Output
Space-group type: No. 12
M_tot, μB per atom: 0.08
E above lowest polymorph, meV/atom: 380
Calculated total energy, eV per atom: -3.638
Calculated density, g cm⁻³: 3.44

abc: 5.1442 5.2400 5.2095
angles: 63.59 83.89 115.97
Fractional positions:
Sr: 0.5000 0.5000 0.0000
Cl: 0.5000 0.0000 0.5000
Cl: 0.0000 0.0000 0.0000
Ni: 0.0000 0.5000 0.5000